DFT (PBE) results for Tm5Tc after structural relaxation.

Values from the calculation:
E_tot in hartree per atom: -0.2019
Crystal system: monoclinic
ΔH_f (0 K) in kJ per mole of atoms: -4.0

Unit cell a=6.259 b=6.259 c=8.240 alpha=110.79 beta=110.79 gamma=32.72
Positions (direct):
Tm 0.000 0.000 0.000
Tm 0.339 0.339 0.218
Tm 0.367 0.367 0.633
Tm 0.633 0.633 0.367
Tm 0.661 0.661 0.782
Tc 0.000 0.000 0.500



DFT (PBE) results for TmTc2 after structural relaxation.

Values from the calculation:
E_tot in hartree per atom: -0.3099
Crystal system: tetragonal
ΔH_f (0 K) in kJ per mole of atoms: -3.0

Unit cell a=5.765 b=5.765 c=5.765 alpha=148.05 beta=148.05 gamma=45.81
Positions (direct):
Tm 0.000 0.000 0.000
Tc 0.315 0.315 0.000
Tc 0.685 0.685 0.000



DFT (PBE) results for TmTc4 after structural relaxation.

Values from the calculation:
E_tot in hartree per atom: -0.2479
Crystal system: cubic
ΔH_f (0 K) in kJ per mole of atoms: 235.7

Unit cell a=4.680 b=4.680 c=4.680 alpha=90.00 beta=90.00 gamma=90.00
Positions (direct):
Tm 0.000 0.000 0.000
Tc 0.000 0.000 0.500
Tc 0.000 0.500 0.000
Tc 0.500 0.000 0.000
Tc 0.500 0.500 0.500



DFT (PBE) results for TmTc6 after structural relaxation.

Values from the calculation:
E_tot in hartree per atom: -0.3505
Crystal system: orthorhombic
ΔH_f (0 K) in kJ per mole of atoms: -1.4

Unit cell a=8.444 b=5.150 c=10.721 alpha=90.00 beta=90.00 gamma=90.00
Positions (direct):
Tm 0.234 0.250 0.057
Tm 0.266 0.750 0.557
Tm 0.734 0.250 0.443
Tm 0.766 0.750 0.943
Tc 0.071 0.009 0.305
Tc 0.071 0.491 0.305
Tc 0.074 0.750 0.077
Tc 0.078 0.250 0.522
Tc 0.139 0.750 0.852
Tc 0.185 0.250 0.757
Tc 0.315 0.750 0.257
Tc 0.361 0.250 0.352
Tc 0.422 0.750 0.022
Tc 0.426 0.250 0.577
Tc 0.429 0.509 0.805
Tc 0.429 0.991 0.805
Tc 0.571 0.009 0.195
Tc 0.571 0.491 0.195
Tc 0.574 0.750 0.423
Tc 0.578 0.250 0.978
Tc 0.639 0.750 0.648
Tc 0.685 0.250 0.743
Tc 0.815 0.750 0.243
Tc 0.861 0.250 0.148
Tc 0.922 0.750 0.478
Tc 0.926 0.250 0.923
Tc 0.929 0.509 0.695
Tc 0.929 0.991 0.695



DFT (PBE) results for TmTc5 after structural relaxation.

Values from the calculation:
E_tot in hartree per atom: -0.3384
Crystal system: orthorhombic
ΔH_f (0 K) in kJ per mole of atoms: 17.0

Unit cell a=7.143 b=7.143 c=3.105 alpha=90.00 beta=90.00 gamma=142.47
Positions (direct):
Tm 0.000 0.000 0.000
Tc 0.184 0.816 0.500
Tc 0.340 0.660 0.000
Tc 0.500 0.500 0.500
Tc 0.660 0.340 0.000
Tc 0.816 0.184 0.500



DFT (PBE) results for TmTc6 after structural relaxation.

Values from the calculation:
E_tot in hartree per atom: -0.3169
Crystal system: cubic
ΔH_f (0 K) in kJ per mole of atoms: 87.0

Unit cell a=5.849 b=5.849 c=5.849 alpha=109.47 beta=109.47 gamma=109.47
Positions (direct):
Tm 0.000 0.000 0.000
Tc 0.250 0.500 0.750
Tc 0.250 0.750 0.500
Tc 0.500 0.250 0.750
Tc 0.500 0.750 0.250
Tc 0.750 0.250 0.500
Tc 0.750 0.500 0.250



DFT (PBE) results for TmTc2 after structural relaxation.

Values from the calculation:
E_tot in hartree per atom: -0.3179
Crystal system: hexagonal
ΔH_f (0 K) in kJ per mole of atoms: -23.9

Unit cell a=5.364 b=5.364 c=8.749 alpha=90.00 beta=90.00 gamma=120.00
Positions (direct):
Tm 0.333 0.667 0.062
Tm 0.333 0.667 0.438
Tm 0.667 0.333 0.562
Tm 0.667 0.333 0.938
Tc 0.000 0.000 0.000
Tc 0.000 0.000 0.500
Tc 0.172 0.344 0.750
Tc 0.172 0.828 0.750
Tc 0.344 0.172 0.250
Tc 0.656 0.828 0.750
Tc 0.828 0.172 0.250
Tc 0.828 0.656 0.250



DFT (PBE) results for Tm4Tc after structural relaxation.

Values from the calculation:
E_tot in hartree per atom: -0.2025
Crystal system: cubic
ΔH_f (0 K) in kJ per mole of atoms: 13.6

Unit cell a=5.307 b=5.307 c=5.307 alpha=90.00 beta=90.00 gamma=90.00
Positions (direct):
Tm 0.000 0.000 0.000
Tm 0.000 0.500 0.500
Tm 0.500 0.000 0.500
Tm 0.500 0.500 0.000
Tc 0.500 0.500 0.500



DFT (PBE) results for Tm3Tc after structural relaxation.

Values from the calculation:
E_tot in hartree per atom: -0.2196
Crystal system: orthorhombic
ΔH_f (0 K) in kJ per mole of atoms: -3.0

Unit cell a=6.169 b=6.169 c=6.169 alpha=146.44 beta=61.88 gamma=129.65
Positions (direct):
Tm 0.000 0.000 0.000
Tm 0.299 0.500 0.799
Tm 0.701 0.500 0.201
Tc 0.501 0.001 0.500



DFT (PBE) results for TmTc3 after structural relaxation.

Values from the calculation:
E_tot in hartree per atom: -0.3162
Crystal system: orthorhombic
ΔH_f (0 K) in kJ per mole of atoms: 27.8

Unit cell a=7.300 b=6.362 c=5.174 alpha=77.76 beta=58.40 gamma=43.85
Positions (direct):
Tm 0.136 0.136 0.864
Tm 0.864 0.864 0.136
Tc 0.000 0.000 0.500
Tc 0.250 0.250 0.250
Tc 0.391 0.391 0.609
Tc 0.500 0.500 0.000
Tc 0.609 0.609 0.391
Tc 0.750 0.750 0.750



DFT (PBE) results for Tm3Tc after structural relaxation.

Values from the calculation:
E_tot in hartree per atom: -0.2157
Crystal system: orthorhombic
ΔH_f (0 K) in kJ per mole of atoms: 7.4

Unit cell a=9.069 b=7.834 c=5.956 alpha=81.00 beta=58.56 gamma=40.44
Positions (direct):
Tm 0.180 0.180 0.820
Tm 0.228 0.552 0.448
Tm 0.448 0.772 0.228
Tm 0.552 0.228 0.772
Tm 0.772 0.448 0.552
Tm 0.820 0.820 0.180
Tc 0.118 0.882 0.118
Tc 0.882 0.118 0.882



DFT (PBE) results for TmTc2 after structural relaxation.

Values from the calculation:
E_tot in hartree per atom: -0.3163
Crystal system: cubic
ΔH_f (0 K) in kJ per mole of atoms: -19.8

Unit cell a=5.369 b=5.369 c=5.369 alpha=60.00 beta=60.00 gamma=60.00
Positions (direct):
Tm 0.125 0.125 0.125
Tm 0.875 0.875 0.875
Tc 0.000 0.500 0.500
Tc 0.500 0.000 0.500
Tc 0.500 0.500 0.000
Tc 0.500 0.500 0.500



DFT (PBE) results for Tm4Tc after structural relaxation.

Values from the calculation:
E_tot in hartree per atom: -0.2068
Crystal system: monoclinic
ΔH_f (0 K) in kJ per mole of atoms: 2.3

Unit cell a=6.295 b=7.594 c=6.080 alpha=90.00 beta=108.20 gamma=90.00
Positions (direct):
Tm 0.227 0.145 0.026
Tm 0.227 0.855 0.526
Tm 0.257 0.388 0.514
Tm 0.257 0.612 0.014
Tm 0.743 0.388 0.986
Tm 0.743 0.612 0.486
Tm 0.773 0.145 0.474
Tm 0.773 0.855 0.974
Tc 0.500 0.122 0.750
Tc 0.500 0.878 0.250



DFT (PBE) results for Tm3Tc after structural relaxation.

Values from the calculation:
E_tot in hartree per atom: -0.2128
Crystal system: tetragonal
ΔH_f (0 K) in kJ per mole of atoms: 14.8

Unit cell a=4.431 b=4.431 c=5.028 alpha=90.00 beta=90.00 gamma=90.00
Positions (direct):
Tm 0.000 0.000 0.000
Tm 0.000 0.500 0.526
Tm 0.500 0.000 0.526
Tc 0.500 0.500 0.918



DFT (PBE) results for Tm5Tc after structural relaxation.

Values from the calculation:
E_tot in hartree per atom: -0.1962
Crystal system: orthorhombic
ΔH_f (0 K) in kJ per mole of atoms: 11.0

Unit cell a=6.861 b=6.861 c=5.030 alpha=90.00 beta=90.00 gamma=138.62
Positions (direct):
Tm 0.000 0.000 0.000
Tm 0.144 0.856 0.500
Tm 0.347 0.653 0.000
Tm 0.653 0.347 0.000
Tm 0.856 0.144 0.500
Tc 0.500 0.500 0.500



DFT (PBE) results for TmUTc after structural relaxation.

Values from the calculation:
E_tot in hartree per atom: -0.3113
Crystal system: tetragonal
ΔH_f (0 K) in kJ per mole of atoms: 22.9

Unit cell a=12.130 b=12.130 c=12.130 alpha=163.62 beta=163.62 gamma=23.24
Positions (direct):
Tm 0.075 0.075 0.000
Tm 0.925 0.925 0.000
U 0.337 0.337 0.000
U 0.663 0.663 0.000
Tc 0.206 0.206 0.000
Tc 0.794 0.794 0.000



DFT (PBE) results for TmU2Tc2 after structural relaxation.

Values from the calculation:
E_tot in hartree per atom: -0.3391
Crystal system: orthorhombic
ΔH_f (0 K) in kJ per mole of atoms: 31.8

Unit cell a=10.740 b=9.773 c=5.537 alpha=84.26 beta=64.88 gamma=30.86
Positions (direct):
Tm 0.125 0.125 0.125
Tm 0.875 0.875 0.875
U 0.242 0.242 0.508
U 0.492 0.492 0.758
U 0.508 0.508 0.242
U 0.758 0.758 0.492
Tc 0.205 0.545 0.205
Tc 0.455 0.795 0.455
Tc 0.545 0.205 0.545
Tc 0.795 0.455 0.795



DFT (PBE) results for Tm3UTc2 after structural relaxation.

Values from the calculation:
E_tot in hartree per atom: -0.2852
Crystal system: orthorhombic
ΔH_f (0 K) in kJ per mole of atoms: -18.3

Unit cell a=6.822 b=6.822 c=6.057 alpha=90.00 beta=90.00 gamma=94.43
Positions (direct):
Tm 0.067 0.583 0.250
Tm 0.072 0.928 0.750
Tm 0.417 0.933 0.250
Tm 0.583 0.067 0.750
Tm 0.928 0.072 0.250
Tm 0.933 0.417 0.750
U 0.435 0.565 0.750
U 0.565 0.435 0.250
Tc 0.293 0.293 0.000
Tc 0.293 0.293 0.500
Tc 0.707 0.707 0.000
Tc 0.707 0.707 0.500



DFT (PBE) results for Tm2UTc2 after structural relaxation.

Values from the calculation:
E_tot in hartree per atom: -0.3101
Crystal system: monoclinic
ΔH_f (0 K) in kJ per mole of atoms: -23.8

Unit cell a=5.721 b=5.721 c=7.848 alpha=99.10 beta=99.10 gamma=61.25
Positions (direct):
Tm 0.025 0.278 0.150
Tm 0.278 0.025 0.650
Tm 0.722 0.975 0.350
Tm 0.975 0.722 0.850
U 0.370 0.630 0.250
U 0.630 0.370 0.750
Tc 0.245 0.502 0.488
Tc 0.498 0.755 0.012
Tc 0.502 0.245 0.988
Tc 0.755 0.498 0.512



DFT (PBE) results for TmU2Tc after structural relaxation.

Values from the calculation:
E_tot in hartree per atom: -0.3302
Crystal system: trigonal
ΔH_f (0 K) in kJ per mole of atoms: 35.6

Unit cell a=10.237 b=10.237 c=10.237 alpha=17.81 beta=17.81 gamma=17.81
Positions (direct):
Tm 0.000 0.000 0.000
U 0.239 0.239 0.239
U 0.761 0.761 0.761
Tc 0.500 0.500 0.500



DFT (PBE) results for TmUTc after structural relaxation.

Values from the calculation:
E_tot in hartree per atom: -0.3204
Crystal system: tetragonal
ΔH_f (0 K) in kJ per mole of atoms: -1.1

Unit cell a=5.988 b=5.988 c=5.988 alpha=146.80 beta=146.80 gamma=47.66
Positions (direct):
Tm 0.000 0.000 0.000
U 0.301 0.301 0.000
Tc 0.692 0.692 0.000



DFT (PBE) results for TmUTc after structural relaxation.

Values from the calculation:
E_tot in hartree per atom: -0.3118
Crystal system: hexagonal
ΔH_f (0 K) in kJ per mole of atoms: 21.5

Unit cell a=4.683 b=4.683 c=3.366 alpha=90.00 beta=90.00 gamma=120.00
Positions (direct):
Tm 0.000 0.000 0.000
U 0.333 0.667 0.500
Tc 0.667 0.333 0.500



DFT (PBE) results for TmVTc after structural relaxation.

Values from the calculation:
E_tot in hartree per atom: -0.2951
Crystal system: tetragonal
ΔH_f (0 K) in kJ per mole of atoms: -4.4

Unit cell a=5.735 b=5.735 c=5.735 alpha=147.67 beta=147.67 gamma=46.37
Positions (direct):
Tm 0.000 0.000 0.000
V 0.301 0.301 0.000
Tc 0.687 0.687 0.000



DFT (PBE) results for TmVTc after structural relaxation.

Values from the calculation:
E_tot in hartree per atom: -0.2889
Crystal system: trigonal
ΔH_f (0 K) in kJ per mole of atoms: 12.1

Unit cell a=4.386 b=4.386 c=3.206 alpha=90.00 beta=90.00 gamma=120.00
Positions (direct):
Tm 0.000 0.000 0.000
V 0.667 0.333 0.413
Tc 0.333 0.667 0.622



DFT (PBE) results for TmTc2W after structural relaxation.

Values from the calculation:
E_tot in hartree per atom: -0.3532
Crystal system: tetragonal
ΔH_f (0 K) in kJ per mole of atoms: -7.0

Unit cell a=3.200 b=3.200 c=6.734 alpha=90.00 beta=90.00 gamma=90.00
Positions (direct):
Tm 0.000 0.000 0.000
Tc 0.500 0.500 0.279
Tc 0.500 0.500 0.721
W 0.000 0.000 0.500



DFT (PBE) results for TmTc4W after structural relaxation.

Values from the calculation:
E_tot in hartree per atom: -0.3578
Crystal system: cubic
ΔH_f (0 K) in kJ per mole of atoms: 7.5

Unit cell a=5.216 b=5.216 c=5.216 alpha=60.00 beta=60.00 gamma=60.00
Positions (direct):
Tm 0.000 0.000 0.000
Tc 0.125 0.625 0.625
Tc 0.625 0.125 0.625
Tc 0.625 0.625 0.125
Tc 0.625 0.625 0.625
W 0.250 0.250 0.250